# Pm2Si2Rh5, optimized geometry, DFT PBE
# Energy (eV per atom): -7.189
# Volume (Å³ per atom): 17.28
# Formation energy from raw total energies (meV/atom): -844.5
data_Pm2Si2Rh5
_cell_length_a 4.170
_cell_length_b 4.170
_cell_length_c 8.943
_cell_angle_alpha 90.00
_cell_angle_beta 90.00
_cell_angle_gamma 90.00
_space_group_name_H-M_alt 'P 4/m m m'
_space_group_IT_number 123
_space_group_name_Hall '-P 4 2'
loop_
_atom_site_label
_atom_site_type_symbol
_atom_site_fract_x
_atom_site_fract_y
_atom_site_fract_z
_atom_site_occupancy
Pm1 Pm 0.000 0.000 0.000 1
Pm2 Pm 0.000 0.000 0.500 1
Si1 Si 0.500 0.500 0.142 1
Rh1 Rh 0.000 0.500 0.263 1
Rh2 Rh 0.500 0.500 0.500 1



# LaDySiAu, optimized geometry, DFT PBE
# Energy (eV per atom): -5.196
# Volume (Å³ per atom): 24.69
# Formation energy from raw total energies (meV/atom): -638.8
data_LaDySiAu
_cell_length_a 7.338
_cell_length_b 7.338
_cell_length_c 7.338
_cell_angle_alpha 90.00
_cell_angle_beta 90.00
_cell_angle_gamma 90.00
_space_group_name_H-M_alt 'F -4 3 m'
_space_group_IT_number 216
_space_group_name_Hall 'F -4 2 3'
loop_
_atom_site_label
_atom_site_type_symbol
_atom_site_fract_x
_atom_site_fract_y
_atom_site_fract_z
_atom_site_occupancy
La1 La 0.000 0.000 0.000 1
Dy1 Dy 0.000 0.000 0.500 1
Si1 Si 0.250 0.250 0.750 1
Au1 Au 0.250 0.250 0.250 1



# CoCu2Au2, optimized geometry, DFT PBE
# Energy (eV per atom): -4.032
# ΔH_f (0 K) (meV per atom): 338
# Volume (Å³ per atom): 15.55
data_CoCu2Au2
_cell_length_a 7.273
_cell_length_b 7.273
_cell_length_c 2.940
_cell_angle_alpha 90.00
_cell_angle_beta 90.00
_cell_angle_gamma 90.00
_space_group_name_H-M_alt 'P 4/m b m'
_space_group_IT_number 127
_space_group_name_Hall '-P 4 2ab'
loop_
_atom_site_label
_atom_site_type_symbol
_atom_site_fract_x
_atom_site_fract_y
_atom_site_fract_z
_atom_site_occupancy
Co1 Co 0.000 0.000 0.000 1
Cu1 Cu 0.154 0.346 0.500 1
Au1 Au 0.146 0.646 0.000 1



# AgMoRu2, optimized geometry, DFT PBE
# Energy (eV per atom): -7.422
# ΔH_f (0 K) (meV per atom): 636
# Volume (Å³ per atom): 15.42
data_AgMoRu2
_cell_length_a 2.809
_cell_length_b 4.611
_cell_length_c 4.762
_cell_angle_alpha 90.00
_cell_angle_beta 90.00
_cell_angle_gamma 90.00
_space_group_name_H-M_alt 'P m m m'
_space_group_IT_number 47
_space_group_name_Hall '-P 2 2'
loop_
_atom_site_label
_atom_site_type_symbol
_atom_site_fract_x
_atom_site_fract_y
_atom_site_fract_z
_atom_site_occupancy
Ag1 Ag 0.000 0.000 0.000 1
Mo1 Mo 0.500 0.000 0.500 1
Ru1 Ru 0.000 0.500 0.500 1
Ru2 Ru 0.500 0.500 0.000 1



| no. | density of states at the Fermi level (states/eV/f.u.) |
| --- | --- |
| 1 | 6.2 |
| 2 | 4.1 |
| 3 | 5.5 |
| 4 | 4.4 |